## Co3SnF (GGA+U)

Data for Co3SnF after structural relaxation.

Output
Space group   No. 221
Volume   121 Å³ per cell
E_tot   -3.007 eV/atom

Cell: 4.9437 4.9437 4.9437 Å, 90.00 90.00 90.00°
Closest atoms and distances in Å follow each position.
Sites, in units of the cell vectors:
Co (0.0000, 0.5000, 0.0000)  2 Sn 2.47
Sn (0.0000, 0.0000, 0.0000)  6 Co 2.47
Co (0.0000, 0.0000, 0.5000)  2 Sn 2.47
F (0.5000, 0.5000, 0.5000)  12 Co 3.50
Co (0.5000, 0.0000, 0.0000)  2 Sn 2.47